Compound: KHf2O
Source: the Alexandria database
Functional: PBE-GGA
Structure: optimized geometry

a b c (Å): 6.7820 6.7820 6.7826
angles (deg): 60.00 60.00 90.00
Positions (direct):
K: 0.0000 0.0000 0.0000
K: 0.7500 0.2500 0.5000
Hf: 0.3751 0.1250 0.2500
Hf: 0.3749 0.6250 0.2500
Hf: 0.3750 0.6249 0.7500
Hf: 0.8750 0.6251 0.7500
O: 0.5000 0.5000 0.0000
O: 0.2500 0.7500 0.5000

Computed properties:
Total energy ... -7.023 eV/atom
Energy relative to the elements, uncorrected ... -2.1 eV per formula unit


Compound: AcSm5HoEr2
Source: the Alexandria database
Functional: PBE-GGA
Structure: optimized geometry

a b c (Å): 5.7794 9.1881 12.1079
angles (deg): 90.00 90.00 108.33
Positions (direct):
Ac: 0.6142 0.2284 0.9241
Ac: 0.3858 0.7716 0.4241
Sm: 0.4190 0.8379 0.0892
Sm: 0.7681 0.5362 0.7199
Sm: 0.4210 0.8420 0.7640
Sm: 0.2313 0.4626 0.6293
Sm: 0.9399 0.8798 0.5720
Sm: 0.5810 0.1621 0.5892
Sm: 0.2319 0.4638 0.2199
Sm: 0.5790 0.1580 0.2640
Sm: 0.7687 0.5374 0.1293
Sm: 0.0601 0.1202 0.0720
Ho: 0.7486 0.4973 0.4243
Ho: 0.2514 0.5027 0.9243
Er: 0.8874 0.7747 0.9239
Er: 0.0618 0.1235 0.7772
Er: 0.1126 0.2253 0.4239
Er: 0.9382 0.8765 0.2772

Computed properties:
Total energy ... -4.512 eV/atom
Energy of formation ... 89 meV per atom


Compound: InSn2Hg2
Source: the Alexandria database
Functional: PBE-GGA
Structure: optimized geometry

a b c (Å): 7.8978 7.8978 4.3556
angles (deg): 90.00 90.00 90.00
Positions (direct):
In: 0.0000 0.0000 0.0000
In: 0.5000 0.5000 0.0000
Sn: 0.1653 0.6653 0.5000
Sn: 0.6653 0.8347 0.5000
Sn: 0.8347 0.3347 0.5000
Sn: 0.3347 0.1653 0.5000
Hg: 0.3620 0.8620 0.0000
Hg: 0.8620 0.6380 0.0000
Hg: 0.6380 0.1380 0.0000
Hg: 0.1380 0.3620 0.0000

Computed properties:
Total energy ... -2.154 eV/atom
Energy above the most stable polymorph in this dataset ... 2.4 kJ per mole of atoms
Energy of formation ... 116 meV per atom


Compound: ScZn2Tc
Source: the Alexandria database
Functional: PBE-GGA
Structure: optimized geometry

a b c (Å): 4.0908 2.8151 6.1414
angles (deg): 62.77 90.00 90.00
Positions (direct):
Sc: 0.5000 0.2500 0.2500
Tc: 0.5000 0.7500 0.7500
Zn: 0.0000 0.0191 0.9808
Zn: 0.0000 0.4809 0.5192

Computed properties:
Total energy ... -4.969 eV/atom
Energy above the most stable polymorph in this dataset ... 7.9 kJ per mole of atoms
Energy of formation ... -158 meV per atom


Compound: SrMoOs2
Source: the Alexandria database
Functional: PBE-GGA
Structure: optimized geometry

a b c (Å): 4.7785 4.7785 6.3672
angles (deg): 77.96 77.96 36.55
Positions (direct):
Mo: 0.2500 0.2500 0.2500
Os: 0.9753 0.9753 0.0970
Os: 0.5247 0.5247 0.4030
Sr: 0.7500 0.7500 0.7500

Computed properties:
Total energy ... -8.076 eV/atom
Energy above the most stable polymorph in this dataset ... 15.5 kJ per mole of atoms
Energy of formation ... 667 meV per atom


Compound: K2Ta2TiSe6
Source: the Alexandria database
Functional: PBE-GGA
Structure: optimized geometry

a b c (Å): 6.3548 6.3548 8.2705
angles (deg): 95.93 95.93 119.86
Last column: magnetic moment on the atom in μB.
Positions (direct):
K: 0.8208 0.1792 0.0000  0.00
K: 0.1792 0.8208 0.0000  0.00
Ta: 0.3673 0.6327 0.5000  0.06
Ta: 0.6327 0.3673 0.5000  0.06
Ti: 0.0000 0.0000 0.5000  0.33
Se: 0.7407 0.7407 0.7168  0.00
Se: 0.0448 0.3870 0.6797  0.00
Se: 0.2593 0.2593 0.2832  0.00
Se: 0.3870 0.0448 0.6797  0.00
Se: 0.9552 0.6130 0.3203  0.00
Se: 0.6130 0.9552 0.3203  0.00

Computed properties:
Total energy ... -5.976 eV/atom
Energy relative to the elements, uncorrected ... -11.0 eV per formula unit


Compound: Li5Pm2Pb4
Source: the Alexandria database
Functional: PBE-GGA
Structure: optimized geometry

a b c (Å): 6.1336 6.1810 9.0473
angles (deg): 80.32 70.19 60.25
Last column: magnetic moment on the atom in μB.
Positions (direct):
Li: 0.5000 0.0000 0.0000  0.00
Li: 0.0000 0.5000 0.0000  0.01
Li: 0.5000 0.5000 0.0000  0.01
Li: 0.2500 0.5000 0.5000  0.01
Li: 0.7500 0.5000 0.5000  0.01
Pm: 0.8227 0.0000 0.3546  0.10
Pm: 0.1773 0.0000 0.6454  0.10
Pb: 0.4890 0.2936 0.7283  -0.01
Pb: 0.5110 0.7064 0.2717  -0.01
Pb: 0.2174 0.2936 0.2717  -0.01
Pb: 0.7826 0.7064 0.7283  -0.01

Computed properties:
Total energy ... -3.333 eV/atom
Energy of formation ... -250 meV per atom


Compound: KCa2Ir
Source: the Alexandria database
Functional: PBE-GGA
Structure: optimized geometry

a b c (Å): 8.6293 8.6293 8.3514
angles (deg): 58.89 58.89 90.00
Positions (direct):
Ca: 0.8482 0.1250 0.2500
Ca: 0.9018 0.6250 0.2500
Ca: 0.3750 0.1518 0.7500
Ca: 0.8750 0.0982 0.7500
Ir: 0.0000 0.0000 0.0000
Ir: 0.7500 0.2500 0.5000
K: 0.5000 0.5000 0.0000
K: 0.2500 0.7500 0.5000

Computed properties:
Total energy ... -3.185 eV/atom
Energy above the most stable polymorph in this dataset ... 38.3 kJ per mole of atoms
Energy of formation ... 306 meV per atom